1.
The following is a PBE calculation of a relaxed La2Pm2SmEr crystal, from Alexandria.

## Properties
DOS at the Fermi energy   1.5880 states/eV/atom
ΔE_f   53 meV per atom

```
data_La2Pm2SmEr
_chemical_formula_sum 'La4 Pm4 Sm2 Er2'
_cell_length_a 7.140
_cell_length_b 5.775
_cell_length_c 9.984
_cell_angle_alpha 90.00
_cell_angle_beta 90.00
_cell_angle_gamma 90.00
_space_group_name_H-M_alt 'P m m a'
_space_group_IT_number 51
loop_
_space_group_symop_operation_xyz
'x,y,z'
'-x,-y,-z'
'-x+1/2,-y,z'
'x+1/2,y,-z'
'x+1/2,-y,-z'
'-x+1/2,y,z'
'-x,y,-z'
'x,-y,z'
loop_
_atom_site_label
_atom_site_type_symbol
_atom_site_fract_x
_atom_site_fract_y
_atom_site_fract_z
_atom_site_occupancy
La1 La 0.000 0.000 0.000 1
La2 La 0.250 0.500 0.177 1
Pm1 Pm 0.250 0.000 0.333 1
Pm2 Pm 0.250 0.500 0.835 1
Sm1 Sm 0.250 0.000 0.658 1
Er1 Er 0.000 0.500 0.500 1
```

---

2.
The following is a PBE calculation of a relaxed PaAlBi2 crystal, from Alexandria.

## Properties
DOS at the Fermi energy   0.9014 states/eV/atom
ΔE_f   -93 meV per atom
Excess energy over the best structure of this formula in the dataset   0 meV per atom

```
data_PaAlBi2
_chemical_formula_sum 'Pa1 Al1 Bi2'
_cell_length_a 4.914
_cell_length_b 4.914
_cell_length_c 4.299
_cell_angle_alpha 90.00
_cell_angle_beta 90.00
_cell_angle_gamma 90.00
_space_group_name_H-M_alt 'P 4/m m m'
_space_group_IT_number 123
_space_group_name_Hall '-P 4 2'
loop_
_atom_site_label
_atom_site_type_symbol
_atom_site_fract_x
_atom_site_fract_y
_atom_site_fract_z
_atom_site_occupancy
Pa1 Pa 0.000 0.000 0.000 1
Al1 Al 0.500 0.500 0.000 1
Bi1 Bi 0.000 0.500 0.500 1
```

---

3.
The following is a PBE calculation of a relaxed HfAsPd crystal, from Alexandria.

## Properties
DOS at the Fermi energy   0.2898 states/eV/atom
ΔE_f   -754 meV per atom

```
data_HfAsPd
_chemical_formula_sum 'Hf4 As4 Pd4'
_cell_length_a 10.037
_cell_length_b 3.534
_cell_length_c 6.735
_cell_angle_alpha 90.00
_cell_angle_beta 115.96
_cell_angle_gamma 90.00
_space_group_name_H-M_alt 'C 1 2/m 1'
_space_group_IT_number 12
loop_
_space_group_symop_operation_xyz
'x,y,z'
'-x,-y,-z'
'-x,y,-z'
'x,-y,z'
'x+1/2,y+1/2,z'
'-x+1/2,-y+1/2,-z'
'-x+1/2,y+1/2,-z'
'x+1/2,-y+1/2,z'
loop_
_atom_site_label
_atom_site_type_symbol
_atom_site_fract_x
_atom_site_fract_y
_atom_site_fract_z
_atom_site_occupancy
Hf1 Hf 0.049 0.000 0.296 1
As1 As 0.166 0.500 0.665 1
Pd1 Pd 0.144 0.500 0.037 1
```

---

4.
The following is a PBE calculation of a relaxed VBiPS2 crystal, from Alexandria.

## Properties
DOS at the Fermi energy   2.1207 states/eV/atom
Excess energy over the best structure of this formula in the dataset   1353 meV per atom
Formation energy without anion corrections   1.34 eV per atom

```
data_VBiPS2
_chemical_formula_sum 'V1 Bi1 P1 S2'
_cell_length_a 5.111
_cell_length_b 5.111
_cell_length_c 5.225
_cell_angle_alpha 90.00
_cell_angle_beta 90.00
_cell_angle_gamma 90.00
_space_group_name_H-M_alt 'P 4/m m m'
_space_group_IT_number 123
_space_group_name_Hall '-P 4 2'
loop_
_atom_site_label
_atom_site_type_symbol
_atom_site_fract_x
_atom_site_fract_y
_atom_site_fract_z
_atom_site_occupancy
V1 V 0.000 0.000 0.000 1
Bi1 Bi 0.500 0.500 0.500 1
P1 P 0.500 0.500 0.000 1
S1 S 0.000 0.500 0.500 1
```

---

5.
The following is a PBE calculation of a relaxed La8Sn2Au crystal, from Alexandria.

## Properties
DOS at the Fermi energy   1.0851 states/eV/atom
ΔE_f   -455 meV per atom

```
data_La8Sn2Au
_chemical_formula_sum 'La16 Sn4 Au2'
_cell_length_a 20.133
_cell_length_b 5.331
_cell_length_c 7.060
_cell_angle_alpha 90.00
_cell_angle_beta 106.25
_cell_angle_gamma 90.00
_space_group_name_H-M_alt 'C 1 2/m 1'
_space_group_IT_number 12
loop_
_space_group_symop_operation_xyz
'x,y,z'
'-x,-y,-z'
'-x,y,-z'
'x,-y,z'
'x+1/2,y+1/2,z'
'-x+1/2,-y+1/2,-z'
'-x+1/2,y+1/2,-z'
'x+1/2,-y+1/2,z'
loop_
_atom_site_label
_atom_site_type_symbol
_atom_site_fract_x
_atom_site_fract_y
_atom_site_fract_z
_atom_site_occupancy
La1 La 0.013 0.000 0.278 1
La2 La 0.091 0.500 0.969 1
La3 La 0.154 0.500 0.491 1
La4 La 0.215 0.000 0.810 1
Sn1 Sn 0.178 0.000 0.242 1
Au1 Au 0.000 0.500 0.500 1
```

---

| no. | calculated total energy (eV per atom) |
| --- | --- |
| 1 | -4.720 |
| 2 | -5.343 |
| 3 | -7.353 |
| 4 | -3.991 |
| 5 | -5.065 |